Crystalline Ga2P3H11O13 at its relaxed geometry, computed with PBE.

Lattice parameters (Å, degrees): 7.657 8.521 10.020 90.00 90.00 110.32
Sites, in units of the cell vectors:
Ga (0.932, 0.973, 0.149)
Ga (0.068, 0.027, 0.649)
Ga (0.416, 0.623, 0.422)
Ga (0.584, 0.377, 0.922)
P (0.542, 0.660, 0.112)
P (0.458, 0.340, 0.612)
P (0.736, 0.988, 0.429)
P (0.264, 0.012, 0.929)
P (0.795, 0.104, 0.871)
P (0.205, 0.896, 0.371)
H (0.448, 0.775, 0.097)
H (0.552, 0.225, 0.597)
H (0.603, 0.061, 0.461)
H (0.397, 0.939, 0.961)
H (0.676, 0.945, 0.830)
H (0.324, 0.055, 0.330)
H (0.236, 0.230, 0.114)
H (0.764, 0.770, 0.614)
H (0.850, 0.717, 0.752)
H (0.150, 0.283, 0.252)
H (0.140, 0.339, 0.467)
H (0.860, 0.661, 0.967)
H (0.043, 0.452, 0.381)
H (0.957, 0.548, 0.881)
H (0.254, 0.593, 0.680)
H (0.746, 0.407, 0.180)
H (0.254, 0.754, 0.593)
H (0.746, 0.246, 0.093)
H (0.902, 0.629, 0.309)
H (0.098, 0.371, 0.809)
H (0.744, 0.490, 0.387)
H (0.256, 0.510, 0.887)
O (0.753, 0.753, 0.096)
O (0.247, 0.247, 0.596)
O (0.826, 0.099, 0.023)
O (0.174, 0.901, 0.523)
O (0.769, 0.023, 0.279)
O (0.231, 0.977, 0.779)
O (0.023, 0.853, 0.290)
O (0.977, 0.147, 0.790)
O (0.092, 0.924, 0.015)
O (0.908, 0.076, 0.515)
O (0.146, 0.192, 0.189)
O (0.854, 0.808, 0.689)
O (0.488, 0.571, 0.246)
O (0.512, 0.429, 0.746)
O (0.653, 0.800, 0.466)
O (0.347, 0.200, 0.966)
O (0.697, 0.230, 0.840)
O (0.303, 0.770, 0.340)
O (0.525, 0.465, 0.495)
O (0.475, 0.535, 0.995)
O (0.157, 0.419, 0.391)
O (0.843, 0.581, 0.891)
O (0.312, 0.666, 0.603)
O (0.688, 0.334, 0.103)
O (0.853, 0.506, 0.328)
O (0.147, 0.494, 0.828)

Computed properties:
- DFT total energy: -5.68 eV/atom
- Theoretical density: 2.4 g/cm³